Entry 1:
A relaxed structure of SrLi6. Source: the Alexandria database, functional PBE.

The calculation puts the formation energy at 2.874 eV per formula unit.

Geometry as POSCAR:
```
SrLi6
1.0
6.129 0.000 0.000
0.000 6.129 0.000
0.000 0.000 6.129
Sr Li
1 6
Cartesian
0.000 0.000 0.000 Sr
1.185 3.065 3.065 Li
3.065 1.185 3.065 Li
3.065 3.065 1.185 Li
3.065 3.065 4.944 Li
3.065 4.944 3.065 Li
4.944 3.065 3.065 Li
```



Entry 2:
A relaxed structure of SrLi5. Source: the Alexandria database, functional PBE.

The calculation puts the formation energy at 0.333 eV per formula unit.

Geometry as POSCAR:
```
SrLi5
1.0
2.686 -5.700 0.000
2.686 5.700 0.000
0.000 0.000 5.205
Sr Li
1 5
Cartesian
0.000 0.000 0.000 Sr
2.686 3.320 2.602 Li
2.686 2.075 0.000 Li
2.686 0.000 2.602 Li
2.686 -2.075 0.000 Li
2.686 -3.320 2.602 Li
```



Entry 3:
A relaxed structure of Sr2Li17. Source: the Alexandria database, functional PBE.

The calculation puts the formation energy at 0.288 eV per formula unit.

Geometry as POSCAR:
```
Sr2Li17
1.0
5.143 2.969 5.021
-5.143 2.969 5.021
0.000 -5.939 5.021
Sr Li
2 17
Cartesian
0.000 0.000 2.343 Sr
0.000 0.000 12.720 Sr
-2.572 -1.485 5.021 Li
0.000 -2.903 4.791 Li
-2.514 1.452 4.791 Li
-1.482 -2.567 7.532 Li
-2.965 0.000 7.532 Li
-2.514 -1.452 10.273 Li
0.000 0.000 6.092 Li
-2.572 1.485 10.042 Li
1.482 -2.567 7.532 Li
0.000 2.969 5.021 Li
-1.482 2.567 7.532 Li
0.000 0.000 8.971 Li
2.514 1.452 4.791 Li
2.965 0.000 7.532 Li
1.482 2.567 7.532 Li
2.514 -1.452 10.272 Li
0.000 2.903 10.272 Li
```



Entry 4:
A relaxed structure of Sr13Li2. Source: the Alexandria database, functional PBE.

The calculation puts the formation energy at 0.409 eV per formula unit.

Geometry as POSCAR:
```
Sr13Li2
1.0
7.682 0.000 0.000
1.493 10.091 0.000
1.597 3.890 9.825
Sr Li
13 2
Cartesian
0.000 0.000 0.000 Sr
2.123 6.942 6.941 Sr
2.259 2.675 2.195 Sr
4.370 9.679 9.279 Sr
4.652 12.549 6.326 Sr
4.626 5.427 4.000 Sr
5.070 8.670 1.523 Sr
5.702 5.310 8.303 Sr
6.147 8.553 5.825 Sr
6.121 1.432 3.500 Sr
6.403 4.302 0.547 Sr
8.513 11.306 7.631 Sr
8.650 7.039 2.884 Sr
2.935 9.699 4.533 Li
7.838 4.281 5.292 Li
```



Entry 5:
A relaxed structure of SrLi5. Source: the Alexandria database, functional PBE.

The calculation puts the formation energy at 0.392 eV per formula unit.

Geometry as POSCAR:
```
SrLi5
1.0
4.347 0.000 0.000
0.000 2.234 8.314
0.000 -2.234 8.314
Sr Li
1 5
Cartesian
0.000 0.000 0.000 Sr
0.000 0.000 4.974 Li
0.000 0.000 11.095 Li
2.173 0.000 2.898 Li
2.173 0.000 6.905 Li
2.173 0.000 13.300 Li
```



Entry 6:
A relaxed structure of Sr5Li3. Source: the Alexandria database, functional PBE.

The calculation puts the formation energy at 0.279 eV per formula unit.

Geometry as POSCAR:
```
Sr5Li3
1.0
0.000 9.777 3.574
9.752 0.000 3.574
9.752 9.777 0.000
Sr Li
10 6
Cartesian
9.752 9.777 0.000 Sr
6.207 2.009 1.788 Sr
7.748 6.221 1.789 Sr
2.005 3.556 1.789 Sr
3.546 7.768 1.788 Sr
9.752 9.777 3.574 Sr
17.500 13.332 5.363 Sr
13.298 11.785 5.363 Sr
15.959 17.545 5.363 Sr
11.757 15.998 5.363 Sr
4.876 4.888 0.002 Li
12.927 9.777 1.785 Li
6.577 9.777 1.785 Li
14.628 14.665 3.576 Li
9.752 6.591 5.363 Li
9.752 12.962 5.363 Li
```